[1]
# SrAlPd

A relaxed SrAlPd crystal (PBE-GGA, the Alexandria database). Values from VASP.

Quantum ESPRESSO input file:
```
&SYSTEM
  ibrav = 0, nat = 6, ntyp = 3
/
ATOMIC_SPECIES
Sr 87.62 Sr.upf
Pd 106.42 Pd.upf
Al 26.98 Al.upf
ATOMIC_POSITIONS crystal
Sr 0.500 0.000 0.168
Sr 0.000 0.500 0.832
Pd 0.000 0.500 0.324
Pd 0.500 0.000 0.676
Al 0.000 0.000 0.500
Al 0.500 0.500 0.500
CELL_PARAMETERS angstrom
-2.708 0.509 -3.323
-3.315 -1.115 2.531
-1.038 7.676 2.022
```



[2]
! PBE-GGA BiOs3Se, optimized geometry; values from VASP
! polymorph energy (0 for the lowest one)	0.00	eV/f.u.
! ΔE_f (raw)	1.619	eV per atom
&SYSTEM
  ibrav = 0, nat = 5, ntyp = 3
/
ATOMIC_SPECIES
Os 190.23 Os.upf
Se 78.96 Se.upf
Bi 208.98 Bi.upf
ATOMIC_POSITIONS crystal
Os 0.000 0.000 0.500
Os 0.500 0.000 0.000
Os 0.000 0.500 0.000
Se 0.000 0.000 0.000
Bi 0.500 0.500 0.500
CELL_PARAMETERS angstrom
-1.341 -2.639 3.555
4.201 0.414 1.892
-1.398 3.777 2.277



[3]
# La3Ga2Co3

A relaxed La3Ga2Co3 crystal (PBE-GGA, the Alexandria database). Values from VASP.

Quantum ESPRESSO input file:
```
&SYSTEM
  ibrav = 0, nat = 32, ntyp = 3
/
ATOMIC_SPECIES
Co 58.93 Co.upf
Ga 69.72 Ga.upf
La 138.91 La.upf
ATOMIC_POSITIONS crystal
Co 0.098 0.104 0.952
Co 0.936 0.747 0.750
Co 0.402 0.604 0.548
Co 0.598 0.396 0.452
Co 0.902 0.896 0.048
Co 0.064 0.253 0.250
Co 0.436 0.753 0.250
Co 0.402 0.604 0.952
Co 0.598 0.396 0.048
Co 0.564 0.247 0.750
Co 0.902 0.896 0.452
Co 0.098 0.104 0.548
Ga 0.869 0.197 0.086
Ga 0.369 0.303 0.586
Ga 0.631 0.697 0.086
Ga 0.131 0.803 0.586
Ga 0.869 0.197 0.414
Ga 0.631 0.697 0.414
Ga 0.131 0.803 0.914
Ga 0.369 0.303 0.914
La 0.657 0.948 0.607
La 0.343 0.052 0.107
La 0.343 0.052 0.393
La 0.868 0.905 0.250
La 0.843 0.448 0.893
La 0.843 0.448 0.607
La 0.157 0.552 0.393
La 0.632 0.405 0.250
La 0.157 0.552 0.107
La 0.368 0.595 0.750
La 0.657 0.948 0.893
La 0.132 0.095 0.750
CELL_PARAMETERS angstrom
6.269 0.000 0.000
0.000 7.891 0.000
0.000 0.000 13.738
```



[4]
! PBE-GGA LiSb2Te, optimized geometry; values from VASP
! ΔE_f (raw)	0.140	eV per atom
&SYSTEM
  ibrav = 0, nat = 8, ntyp = 3
/
ATOMIC_SPECIES
Sb 121.76 Sb.upf
Te 127.60 Te.upf
Li 6.94 Li.upf
ATOMIC_POSITIONS crystal
Sb 0.875 0.829 0.750
Sb 0.375 0.421 0.750
Sb 0.171 0.625 0.250
Sb 0.579 0.125 0.250
Te 0.000 0.000 0.000
Te 0.750 0.250 0.500
Li 0.250 0.750 0.500
Li 0.500 0.500 0.000
CELL_PARAMETERS angstrom
-2.479 5.764 -0.783
-5.564 -2.102 2.145
-2.190 3.483 7.049



Number 1: volume 24.862 Å³/atom, E -4.1872 eV/atom. Number 2: volume 19.807 Å³/atom, E -6.5918 eV/atom. Number 3: volume 21.238 Å³/atom, E -5.6022 eV/atom. Number 4: volume 34.125 Å³/atom, E -3.1853 eV/atom.